Compound: NaCr2F2
Source: the Alexandria database
Functional: GGA+U
Structure: optimized geometry

Cell and atoms, written as CIF:
```
data_NaCr2F2
_cell_length_a 4.1564
_cell_length_b 4.1564
_cell_length_c 6.3867
_cell_angle_alpha 71.01
_cell_angle_beta 71.01
_cell_angle_gamma 90.00
_space_group_name_H-M_alt 'P 1'
_space_group_IT_number 1
_space_group_name_Hall 'P 1'
loop_
_atom_site_label
_atom_site_fract_x
_atom_site_fract_y
_atom_site_fract_z
Cr1 0.7500 0.2500 0.5000
Cr2 0.2500 0.7500 0.5000
F1 0.3562 0.3562 0.2876
F2 0.6438 0.6438 0.7124
Na1 0.0000 0.0000 0.0000
```

Summary:
theoretical density	2.8	g/cm³
D(E_F)	0.240	states/eV per atom
DFT total energy	-0.18070	Ha/atom
total moment	10.30	μB/f.u.